A plane-wave DFT calculation with PBE-GGA was carried out for crystalline TbBePd at its relaxed geometry.

## Properties
raw total energy = -5.059 eV per atom
theoretical density = 8513 kg/m3
formation enthalpy at 0 K = -52.33 kJ per mole of atoms

Unit cell a=5.4429 b=5.4429 c=6.8621 alpha=125.68 beta=125.68 gamma=42.45
With the nearest neighbours (Å) after each atom.
Atoms (fractional coordinates):
Tb: 0.0585 0.0585 0.3012  5 Be 2.89-3.08, 6 Pd 3.04-3.18
Tb: 0.9415 0.9415 0.6988  5 Be 2.89-3.08, 6 Pd 3.04-3.18
Be: 0.3411 0.3411 0.2805  3 Pd 2.31-2.45
Be: 0.6589 0.6589 0.7195  3 Pd 2.31-2.45
Pd: 0.3087 0.3087 0.8949  3 Be 2.31-2.45
Pd: 0.6913 0.6913 0.1051  3 Be 2.31-2.45